# 1
First-principles (PBEsol) data for an optimized crystal structure of KNb2Se2, as listed in Alexandria.

Values from the calculation:
* total magnetization: 0.000 μB/cell
* ΔE_f (raw): -0.784 eV/atom
* mass density: 5.5 g cm⁻³
* electronic total energy: -6.88 eV/atom

Cell lengths 7.9676, 7.9676, 7.9676 Å; angles 151.50, 151.50, 40.74 degrees
Atoms (fractional coordinates):
K  0.0000  0.0000  0.0000
Nb  0.2500  0.7500  0.5000
Nb  0.7500  0.2500  0.5000
Se  0.3705  0.3705  0.0000
Se  0.6295  0.6295  0.0000

# 2
First-principles (PBEsol) data for an optimized crystal structure of K3NbSe4, as listed in Alexandria.

Values from the calculation:
* total magnetization: 0.000 μB/cell
* ΔE_f (raw): -1.076 eV/atom
* mass density: 3.5 g cm⁻³
* electronic total energy: -4.78 eV/atom

Cell lengths 9.5760, 10.9358, 9.6685 Å; angles 90.00, 90.00, 90.00 degrees
Atoms (fractional coordinates):
K  0.0572  0.0467  0.2067
K  0.0572  0.4533  0.2067
K  0.1299  0.7500  0.4139
K  0.3701  0.2500  0.9139
K  0.4428  0.5467  0.7067
K  0.4428  0.9533  0.7067
K  0.5572  0.0467  0.2933
K  0.5572  0.4533  0.2933
K  0.6299  0.7500  0.0861
K  0.8701  0.2500  0.5861
K  0.9428  0.5467  0.7933
K  0.9428  0.9533  0.7933
Nb  0.2146  0.7500  0.9856
Nb  0.2854  0.2500  0.4856
Nb  0.7146  0.7500  0.5144
Nb  0.7854  0.2500  0.0144
Se  0.0153  0.2500  0.9130
Se  0.1623  0.0685  0.5525
Se  0.1623  0.4315  0.5525
Se  0.1911  0.7500  0.7385
Se  0.3089  0.2500  0.2385
Se  0.3377  0.5685  0.0525
Se  0.3377  0.9315  0.0525
Se  0.4847  0.7500  0.4130
Se  0.5153  0.2500  0.5870
Se  0.6623  0.0685  0.9475
Se  0.6623  0.4315  0.9475
Se  0.6911  0.7500  0.7615
Se  0.8089  0.2500  0.2615
Se  0.8377  0.5685  0.4475
Se  0.8377  0.9315  0.4475
Se  0.9847  0.7500  0.0870

# 3
First-principles (PBEsol) data for an optimized crystal structure of KNb3Si, as listed in Alexandria.

Values from the calculation:
* total magnetization: 0.000 μB/cell
* ΔE_f (raw): 1.164 eV/atom
* mass density: 5.1 g cm⁻³
* electronic total energy: -6.71 eV/atom

Cell lengths 4.8403, 4.8403, 4.8403 Å; angles 90.00, 90.00, 90.00 degrees
Atoms (fractional coordinates):
K  0.0000  0.0000  0.0000
Nb  0.0000  0.5000  0.5000
Nb  0.5000  0.0000  0.5000
Nb  0.5000  0.5000  0.0000
Si  0.5000  0.5000  0.5000

# 4
First-principles (PBEsol) data for an optimized crystal structure of KSrNb2Zn, as listed in Alexandria.

Values from the calculation:
* total magnetization: 0.001 μB/cell
* mass density: 5.1 g cm⁻³
* electronic total energy: -3.23 eV/atom
* formation energy from the elements: 2.006 eV per atom

Cell lengths 4.7642, 4.7642, 5.4403 Å; angles 90.00, 90.00, 90.00 degrees
Atoms (fractional coordinates):
K  0.0000  0.0000  0.0000
Sr  0.5000  0.5000  0.5000
Nb  0.0000  0.5000  0.0000
Nb  0.5000  0.0000  0.0000
Zn  0.0000  0.0000  0.5000